Compound: FeBrCl
Source: Alexandria via LeMat-Bulk
Functional: PBEsol
Structure: relaxed

Crystal system ... trigonal
VASP energy ... -0.352 Ry per atom
Spin magnetization ... 4.00 μB/f.u.
Energy relative to the lowest polymorph listed for this composition ... 0 meV/atom
Uncorrected formation energy ... -0.51 eV/atom

Structure (POSCAR):
```
FeBrCl
1.0
-3.074 1.193 -1.241
0.163 -1.443 3.210
1.190 5.639 2.474
Br Fe Cl
1 1 1
direct
0.000 0.000 0.097
0.333 0.667 0.344
0.667 0.333 0.559
```


Compound: FeBr2Cl
Source: Alexandria via LeMat-Bulk
Functional: PBEsol
Structure: relaxed

Crystal system ... monoclinic
VASP energy ... -0.302 Ry per atom
Spin magnetization ... 4.79 μB/f.u.
Energy relative to the lowest polymorph listed for this composition ... 0 meV/atom
Uncorrected formation energy ... -0.43 eV/atom

Structure (POSCAR):
```
FeBr2Cl
1.0
3.353 0.000 0.000
0.000 6.207 -0.260
0.000 -2.936 5.547
Br Fe Cl
2 1 1
direct
0.500 0.804 0.298
0.000 0.111 0.922
0.500 0.174 0.664
0.000 0.411 0.616
```


Compound: FeBr2Cl
Source: Alexandria via LeMat-Bulk
Functional: PBEsol
Structure: relaxed

Crystal system ... tetragonal
VASP energy ... -0.284 Ry per atom
Spin magnetization ... 4.39 μB/f.u.
Energy relative to the lowest polymorph listed for this composition ... 240 meV/atom
Uncorrected formation energy ... -0.19 eV/atom

Structure (POSCAR):
```
FeBr2Cl
1.0
0.082 -6.889 -0.268
1.309 1.071 -6.684
3.037 0.592 6.162
Cl Br Fe
2 4 2
direct
0.000 0.500 0.500
0.500 0.250 0.750
0.856 0.981 0.625
0.144 0.769 0.125
0.644 0.875 0.019
0.356 0.375 0.231
0.000 0.000 0.000
0.500 0.750 0.250
```


Compound: Ga3BrCl
Source: Alexandria via LeMat-Bulk
Functional: PBEsol
Structure: relaxed

Crystal system ... cubic
VASP energy ... -0.199 Ry per atom
Spin magnetization ... 0.00 μB/f.u.
Uncorrected formation energy ... 0.08 eV/atom

Structure (POSCAR):
```
Ga3BrCl
1.0
-0.964 5.201 -0.826
-5.046 -1.152 -1.369
-1.508 0.532 5.110
Cl Br Ga
1 1 3
direct
0.000 0.000 0.000
0.500 0.500 0.500
0.000 0.500 0.000
0.500 0.000 0.000
0.000 0.000 0.500
```


Compound: GaMoBr2Cl
Source: Alexandria via LeMat-Bulk
Functional: PBEsol
Structure: relaxed

Crystal system ... tetragonal
VASP energy ... -0.314 Ry per atom
Spin magnetization ... 3.19 μB/f.u.
Uncorrected formation energy ... -0.10 eV/atom

Structure (POSCAR):
```
GaMoBr2Cl
1.0
4.833 0.000 0.000
0.000 5.189 0.000
0.000 0.000 5.189
Ga Br Cl Mo
1 2 1 1
direct
0.500 0.500 0.500
0.000 0.000 0.500
0.000 0.500 0.000
0.500 0.000 0.000
0.000 0.000 0.000
```


Compound: GeSeBr2Cl
Source: Alexandria via LeMat-Bulk
Functional: PBEsol
Structure: relaxed

Crystal system ... tetragonal
VASP energy ... -0.199 Ry per atom
Spin magnetization ... 1.49 μB/f.u.
Uncorrected formation energy ... 0.19 eV/atom

Structure (POSCAR):
```
GeSeBr2Cl
1.0
5.033 0.000 0.000
0.000 5.033 0.000
0.000 0.000 5.163
Ge Se Br Cl
1 1 2 1
direct
0.000 0.000 0.000
0.000 0.000 0.500
0.000 0.500 0.000
0.500 0.000 0.000
0.500 0.500 0.500
```


Compound: HBr2Cl
Source: Alexandria via LeMat-Bulk
Functional: PBEsol
Structure: relaxed

Crystal system ... tetragonal
VASP energy ... -0.130 Ry per atom
Spin magnetization ... 0.01 μB/f.u.

Structure (POSCAR):
```
HBr2Cl
1.0
6.184 0.000 0.000
-3.092 5.191 0.262
0.000 3.423 5.150
Br H Cl
4 2 2
direct
0.503 0.750 0.375
0.875 0.250 0.503
0.247 0.750 0.875
0.375 0.250 0.247
0.250 0.500 0.250
0.500 0.000 0.500
0.000 0.000 0.000
0.750 0.500 0.750
```


Compound: HSe2BrCl
Source: Alexandria via LeMat-Bulk
Functional: PBEsol
Structure: relaxed

Crystal system ... tetragonal
VASP energy ... -0.130 Ry per atom
Spin magnetization ... 0.26 μB/f.u.

Structure (POSCAR):
```
HSe2BrCl
1.0
-1.213 -3.730 -3.053
4.706 -0.236 -1.581
1.123 -3.531 3.868
Se H Br Cl
2 1 1 1
direct
0.500 0.000 0.000
0.000 0.500 0.000
0.500 0.500 0.500
0.000 0.000 0.500
0.000 0.000 0.000
```